# 1
Computed, not measured: a geometry-optimized Re5Rh3 structure at the PBE level of DFT.

Structure (CIF):
```
data_Re5Rh3
_chemical_formula_sum 'Re10 Rh6'
_space_group_name_H-M_alt 'C m m m'
_space_group_IT_number 65
_space_group_name_Hall '-C 2 2'
_cell_length_a 7.8851
_cell_length_b 10.9055
_cell_length_c 2.7210
_cell_angle_alpha 90.00
_cell_angle_beta 90.00
_cell_angle_gamma 90.00
loop_
_atom_site_label
_atom_site_fract_x
_atom_site_fract_y
_atom_site_fract_z
Re1 0.0000 0.0000 0.0000
Re2 0.2493 0.1227 0.5000
Rh1 0.0000 0.2498 0.0000
Rh2 0.0000 0.5000 0.0000
```

Values from the calculation:
ΔE to the lowest computed polymorph ... 96 meV/atom
Magnetization ... 0.00 μB/f.u.
DFT formation energy ... -1.0 kcal/mol of atoms

# 2
Computed, not measured: a geometry-optimized ReRh3 structure at the PBE level of DFT.

Structure (CIF):
```
data_ReRh3
_chemical_formula_sum 'Re3 Rh9'
_space_group_name_H-M_alt 'R -3 m'
_space_group_IT_number 166
_space_group_name_Hall '-R 3 2"'
_cell_length_a 8.6889
_cell_length_b 8.6889
_cell_length_c 2.6907
_cell_angle_alpha 90.00
_cell_angle_beta 90.00
_cell_angle_gamma 120.00
loop_
_atom_site_label
_atom_site_fract_x
_atom_site_fract_y
_atom_site_fract_z
Re1 0.0000 0.0000 0.0000
Rh1 0.0000 0.5000 0.0000
```

Values from the calculation:
ΔE to the lowest computed polymorph ... 448 meV/atom
Magnetization ... 0.01 μB/f.u.
DFT formation energy ... 7.8 kcal/mol of atoms

# 3
Computed, not measured: a geometry-optimized ReRh5 structure at the PBE level of DFT.

Structure (CIF):
```
data_ReRh5
_chemical_formula_sum 'Re1 Rh5'
_space_group_name_H-M_alt 'P 4/m m m'
_space_group_IT_number 123
_space_group_name_Hall '-P 4 2'
_cell_length_a 2.7246
_cell_length_b 2.7246
_cell_length_c 11.5612
_cell_angle_alpha 90.00
_cell_angle_beta 90.00
_cell_angle_gamma 90.00
loop_
_atom_site_label
_atom_site_fract_x
_atom_site_fract_y
_atom_site_fract_z
Re1 0.0000 0.0000 0.0000
Rh1 0.0000 0.0000 0.3375
Rh2 0.5000 0.5000 0.1631
Rh3 0.5000 0.5000 0.5000
```

Values from the calculation:
ΔE to the lowest computed polymorph ... 31 meV/atom
Magnetization ... 0.00 μB/f.u.
DFT formation energy ... -1.1 kcal/mol of atoms

# 4
Computed, not measured: a geometry-optimized ReRh2 structure at the PBE level of DFT.

Structure (CIF):
```
data_ReRh2
_chemical_formula_sum 'Re4 Rh8'
_space_group_name_H-M_alt 'C m m m'
_space_group_IT_number 65
_space_group_name_Hall '-C 2 2'
_cell_length_a 3.8627
_cell_length_b 11.4165
_cell_length_c 3.9189
_cell_angle_alpha 90.00
_cell_angle_beta 90.00
_cell_angle_gamma 90.00
loop_
_atom_site_label
_atom_site_fract_x
_atom_site_fract_y
_atom_site_fract_z
Re1 0.0000 0.1735 0.0000
Rh1 0.0000 0.0000 0.5000
Rh2 0.0000 0.3319 0.5000
Rh3 0.0000 0.5000 0.0000
```

Values from the calculation:
ΔE to the lowest computed polymorph ... 98 meV/atom
Magnetization ... 0.00 μB/f.u.
DFT formation energy ... -1.7 kcal/mol of atoms

# 5
Computed, not measured: a geometry-optimized ReRh3 structure at the PBE level of DFT.

Structure (CIF):
```
data_ReRh3
_chemical_formula_sum 'Re4 Rh12'
_space_group_name_H-M_alt 'P n m a'
_space_group_IT_number 62
_space_group_name_Hall '-P 2ac 2n'
_cell_length_a 4.7212
_cell_length_b 8.8668
_cell_length_c 5.4796
_cell_angle_alpha 90.00
_cell_angle_beta 90.00
_cell_angle_gamma 90.00
loop_
_atom_site_label
_atom_site_fract_x
_atom_site_fract_y
_atom_site_fract_z
Re1 0.0861 0.2500 0.1203
Rh1 0.0857 0.2500 0.6235
Rh2 0.2394 0.5048 0.8714
```

Values from the calculation:
ΔE to the lowest computed polymorph ... 67 meV/atom
Magnetization ... 0.00 μB/f.u.
DFT formation energy ... -1.0 kcal/mol of atoms

# 6
Computed, not measured: a geometry-optimized Re4Rh5 structure at the PBE level of DFT.

Structure (CIF):
```
data_Re4Rh5
_chemical_formula_sum 'Re8 Rh10'
_space_group_name_H-M_alt 'P 63/m c m'
_space_group_IT_number 193
_space_group_name_Hall '-P 6c 2'
_cell_length_a 7.5261
_cell_length_b 7.5261
_cell_length_c 5.4244
_cell_angle_alpha 90.00
_cell_angle_beta 90.00
_cell_angle_gamma 120.00
loop_
_atom_site_label
_atom_site_fract_x
_atom_site_fract_y
_atom_site_fract_z
Re1 0.0000 0.0000 0.0000
Re2 0.0000 0.3283 0.2500
Rh1 0.0000 0.3337 0.7500
Rh2 0.3333 0.6667 0.0000
```

Values from the calculation:
ΔE to the lowest computed polymorph ... 232 meV/atom
Magnetization ... 0.00 μB/f.u.
DFT formation energy ... 3.6 kcal/mol of atoms

# 7
Computed, not measured: a geometry-optimized ReRh2 structure at the PBE level of DFT.

Structure (CIF):
```
data_ReRh2
_chemical_formula_sum 'Re4 Rh8'
_space_group_name_H-M_alt 'P n m a'
_space_group_IT_number 62
_space_group_name_Hall '-P 2ac 2n'
_cell_length_a 4.7360
_cell_length_b 4.3799
_cell_length_c 8.2744
_cell_angle_alpha 90.00
_cell_angle_beta 90.00
_cell_angle_gamma 90.00
loop_
_atom_site_label
_atom_site_fract_x
_atom_site_fract_y
_atom_site_fract_z
Re1 0.1749 0.2500 0.1666
Rh1 0.1620 0.2500 0.8345
Rh2 0.1708 0.2500 0.4976
```

Values from the calculation:
ΔE to the lowest computed polymorph ... 38 meV/atom
Magnetization ... 0.00 μB/f.u.
DFT formation energy ... -3.1 kcal/mol of atoms

# 8
Computed, not measured: a geometry-optimized ReRh3 structure at the PBE level of DFT.

Structure (CIF):
```
data_ReRh3
_chemical_formula_sum 'Re4 Rh12'
_space_group_name_H-M_alt 'C 1 2/m 1'
_space_group_IT_number 12
_space_group_name_Hall '-C 2y'
_cell_length_a 9.7250
_cell_length_b 4.5950
_cell_length_c 5.4901
_cell_angle_alpha 90.00
_cell_angle_beta 106.10
_cell_angle_gamma 90.00
loop_
_atom_site_label
_atom_site_fract_x
_atom_site_fract_y
_atom_site_fract_z
Re1 0.1155 0.0000 0.1874
Rh1 0.1184 0.0000 0.6786
Rh2 0.1289 0.5000 0.4331
Rh3 0.1399 0.5000 0.9433
```

Values from the calculation:
ΔE to the lowest computed polymorph ... 303 meV/atom
Magnetization ... 0.00 μB/f.u.
DFT formation energy ... 4.4 kcal/mol of atoms